Record 1
A relaxed structure of Tb6PmNd6. Source: Alexandria, functional PBE.

```
Tb6PmNd6
1.0
-3.595 0.926 -5.514
-0.638 -5.980 2.828
-8.608 3.881 6.263
Tb Pm Nd
6 1 6
Direct
0.000 0.500 0.775 Tb
0.500 0.000 0.775 Tb
0.500 0.500 0.699 Tb
0.500 0.000 0.225 Tb
0.000 0.500 0.225 Tb
0.500 0.500 0.301 Tb
0.000 0.000 0.000 Pm
0.000 0.000 0.669 Nd
0.000 0.000 0.331 Nd
0.359 0.643 0.000 Nd
0.641 0.357 0.000 Nd
0.266 0.734 0.500 Nd
0.734 0.266 0.500 Nd
```

Results
size of the total moment	0.000	Bohr magnetons per cell


Record 2
A relaxed structure of Tb6Pm2Nd. Source: Alexandria, functional PBE.

```
Tb6Pm2Nd
1.0
-3.194 2.642 7.063
5.377 -4.581 4.145
6.735 7.965 0.066
Tb Pm Nd
12 4 2
Direct
0.737 0.737 0.167 Tb
0.737 0.737 0.833 Tb
0.737 0.737 0.500 Tb
0.763 0.237 0.000 Tb
0.763 0.237 0.333 Tb
0.763 0.237 0.667 Tb
0.237 0.763 0.333 Tb
0.237 0.763 0.667 Tb
0.237 0.763 0.000 Tb
0.263 0.263 0.500 Tb
0.263 0.263 0.167 Tb
0.263 0.263 0.833 Tb
0.500 0.500 0.333 Pm
0.500 0.500 0.667 Pm
0.000 0.000 0.167 Pm
0.000 0.000 0.833 Pm
0.500 0.500 0.000 Nd
0.000 0.000 0.500 Nd
```

Results
distance to the lowest polymorph of the same formula	593.0	meV/atom
size of the total moment	0.000	Bohr magnetons per cell


Record 3
A relaxed structure of Tb2Pm2Nd3. Source: Alexandria, functional PBE.

```
Tb2Pm2Nd3
1.0
-3.119 -1.721 -0.745
3.827 -2.659 -9.877
-2.633 -7.508 1.685
Tb Pm Nd
2 2 3
Direct
0.286 0.286 0.143 Tb
0.714 0.714 0.857 Tb
0.146 0.143 0.569 Pm
0.854 0.857 0.431 Pm
0.000 0.000 0.000 Nd
0.573 0.571 0.284 Nd
0.427 0.429 0.716 Nd
```

Results
distance to the lowest polymorph of the same formula	0.0	meV/atom
size of the total moment	0.000	Bohr magnetons per cell


Record 4
A relaxed structure of Tb2Pm7Nd. Source: Alexandria, functional PBE.

```
Tb2Pm7Nd
1.0
-1.813 1.703 2.480
-8.931 -3.081 -4.413
2.969 -7.094 7.042
Tb Pm Nd
2 7 1
Direct
0.500 0.830 0.170 Tb
0.500 0.170 0.830 Tb
0.000 0.676 0.324 Pm
0.000 0.324 0.676 Pm
0.500 0.125 0.387 Pm
0.500 0.875 0.613 Pm
0.500 0.387 0.125 Pm
0.500 0.613 0.875 Pm
0.500 0.500 0.500 Pm
0.000 0.000 0.000 Nd
```

Results
distance to the lowest polymorph of the same formula	0.0	meV/atom
size of the total moment	0.000	Bohr magnetons per cell


Record 5
A relaxed structure of Tb2PmNd6. Source: Alexandria, functional PBE.

```
Tb2PmNd6
1.0
3.442 0.000 0.628
2.041 5.659 -1.439
-1.386 -4.160 17.335
Tb Pm Nd
2 1 6
Direct
0.833 0.501 0.834 Tb
0.167 0.499 0.166 Tb
0.500 0.500 0.500 Pm
0.437 0.190 0.937 Nd
0.563 0.810 0.063 Nd
0.772 0.187 0.269 Nd
0.102 0.191 0.605 Nd
0.228 0.813 0.731 Nd
0.898 0.809 0.395 Nd
```

Results
distance to the lowest polymorph of the same formula	0.0	meV/atom
size of the total moment	0.000	Bohr magnetons per cell


Record 6
A relaxed structure of TbPm4Nd2. Source: Alexandria, functional PBE.

```
TbPm4Nd2
1.0
3.646 0.000 0.000
1.823 3.158 0.000
1.823 1.053 20.812
Tb Pm Nd
1 4 2
Direct
0.000 0.000 0.000 Tb
0.143 0.143 0.571 Pm
0.287 0.287 0.140 Pm
0.713 0.713 0.860 Pm
0.857 0.857 0.429 Pm
0.428 0.428 0.715 Nd
0.572 0.572 0.285 Nd
```

Results
distance to the lowest polymorph of the same formula	0.0	meV/atom
size of the total moment	0.000	Bohr magnetons per cell


Record 7
A relaxed structure of TbPm3Nd2. Source: Alexandria, functional PBE.

```
TbPm3Nd2
1.0
3.438 0.000 0.000
0.000 6.787 0.000
0.000 0.000 17.948
Tb Pm Nd
2 6 4
Direct
0.000 0.000 0.500 Tb
0.500 0.500 0.000 Tb
0.000 0.000 0.000 Pm
0.500 0.500 0.500 Pm
0.500 0.740 0.821 Pm
0.500 0.260 0.179 Pm
0.000 0.240 0.679 Pm
0.000 0.760 0.321 Pm
0.500 0.766 0.150 Nd
0.000 0.266 0.350 Nd
0.000 0.734 0.650 Nd
0.500 0.234 0.850 Nd
```

Results
distance to the lowest polymorph of the same formula	100.0	meV/atom
size of the total moment	0.000	Bohr magnetons per cell


Record 8
A relaxed structure of Tb2Pm4Nd5. Source: Alexandria, functional PBE.

```
Tb2Pm4Nd5
1.0
3.477 0.000 -0.530
-0.213 8.834 -1.395
0.096 0.440 12.302
Tb Pm Nd
2 4 5
Direct
0.909 0.267 0.818 Tb
0.091 0.733 0.182 Tb
0.677 0.471 0.354 Pm
0.045 0.362 0.091 Pm
0.323 0.529 0.646 Pm
0.955 0.638 0.909 Pm
0.140 0.115 0.281 Nd
0.860 0.885 0.719 Nd
0.230 0.822 0.461 Nd
0.500 0.000 0.000 Nd
0.770 0.178 0.539 Nd
```

Results
distance to the lowest polymorph of the same formula	48.6	meV/atom
size of the total moment	0.000	Bohr magnetons per cell


Record-wise energy of formation values, in eV/atom: 0.22; 0.70; 0.01; 0.38; 0.18; 0.01; 0.25; 0.14
Record-wise D(E_F) values, in states/eV/f.u.: 21.84; 14.10; 10.15; 15.63; 17.23; 9.07; 10.30; 17.85